# SrCd2IrPb | Alexandria via LeMat-Bulk | GGA-PBE | optimized geometry
# **Formation energy**: -0.076 eV/atom
# **Size of the total moment**: 0.0 μB per cell
data_SrCd2IrPb
_chemical_formula_sum 'Sr1 Cd2 Ir1 Pb1'
_cell_length_a 5.2885
_cell_length_b 5.2885
_cell_length_c 5.2153
_cell_angle_alpha 90.00
_cell_angle_beta 90.00
_cell_angle_gamma 90.00
_space_group_name_H-M_alt 'P 4/m m m'
_space_group_IT_number 123
_space_group_name_Hall '-P 4 2'
loop_
_atom_site_label
_atom_site_type_symbol
_atom_site_fract_x
_atom_site_fract_y
_atom_site_fract_z
_atom_site_occupancy
Sr1 Sr 0.0000 0.0000 0.0000 1
Cd1 Cd 0.0000 0.5000 0.5000 1
Ir1 Ir 0.5000 0.5000 0.5000 1
Pb1 Pb 0.5000 0.5000 0.0000 1